## A
A geometry-optimized CrCo2W structure. Source: the Alexandria database, functional GGA-PBE.

Geometry as POSCAR:
```
CrCo2W
1.0
-1.051 -2.770 -3.317
-1.832 -1.450 3.785
-2.139 1.406 -0.497
Co Cr W
2 1 1
direct
0.000 0.000 0.000
0.500 0.500 0.000
0.500 0.000 0.500
0.000 0.500 0.500
```

Computed properties:
density of states at the Fermi level	0.878	states/eV per atom

=====

## B
A geometry-optimized CrCo2W structure. Source: the Alexandria database, functional GGA-PBE.

Geometry as POSCAR:
```
CrCo2W
1.0
-2.321 1.092 -0.524
-1.023 -1.158 2.113
1.787 5.713 3.996
Co Cr W
2 1 1
direct
0.000 0.000 0.018
0.500 0.500 0.249
0.000 0.000 0.471
0.500 0.500 0.762
```

Computed properties:
density of states at the Fermi level	1.057	states/eV per atom

=====

## C
A geometry-optimized CrCo2W structure. Source: the Alexandria database, functional GGA-PBE.

Geometry as POSCAR:
```
CrCo2W
1.0
-4.259 -1.203 0.551
-0.520 -1.883 4.010
1.870 3.846 -1.267
Cr Co W
1 2 1
direct
0.250 0.750 0.500
0.000 0.000 0.000
0.500 0.500 0.000
0.750 0.250 0.500
```

Computed properties:
density of states at the Fermi level	0.707	states/eV per atom

=====

## D
A geometry-optimized CrCo2W structure. Source: the Alexandria database, functional GGA-PBE.

Geometry as POSCAR:
```
CrCo2W
1.0
4.409 -0.001 0.007
3.636 2.493 0.007
0.745 0.231 4.449
Co Cr W
2 1 1
direct
0.005 0.005 0.999
0.751 0.751 0.729
0.491 0.491 0.544
0.252 0.252 0.227
```

Computed properties:
density of states at the Fermi level	1.192	states/eV per atom

=====

Stability, highest: C

=====

## A
A geometry-optimized CrCoW structure. Source: the Alexandria database, functional GGA-PBE.

Geometry as POSCAR:
```
CrCoW
1.0
-0.587 1.095 4.011
-2.718 -2.583 -1.890
1.406 -2.036 0.761
Co Cr W
1 1 1
direct
0.000 0.000 0.005
0.667 0.333 0.337
0.333 0.667 0.657
```

Computed properties:
density of states at the Fermi level	0.856	states/eV per atom

=====

## B
A geometry-optimized CrCoW structure. Source: the Alexandria database, functional GGA-PBE.

Geometry as POSCAR:
```
CrCoW
1.0
2.575 0.000 -0.131
0.000 12.846 0.000
-0.583 0.000 4.670
Cr Co W
4 4 4
direct
0.920 0.000 0.764
0.920 0.500 0.264
0.402 0.000 0.290
0.402 0.500 0.790
0.662 0.857 0.027
0.662 0.143 0.027
0.662 0.357 0.527
0.662 0.643 0.527
0.162 0.677 0.027
0.162 0.323 0.027
0.162 0.177 0.527
0.162 0.823 0.527
```

Computed properties:
density of states at the Fermi level	1.236	states/eV per atom

=====

## C
A geometry-optimized CrCoW structure. Source: the Alexandria database, functional GGA-PBE.

Geometry as POSCAR:
```
CrCoW
1.0
-4.239 -1.843 -1.255
-2.762 -2.871 2.660
2.506 4.080 0.125
Co Cr W
1 1 1
direct
0.999 0.999 0.000
0.334 0.334 0.000
0.667 0.667 0.000
```

Computed properties:
density of states at the Fermi level	0.738	states/eV per atom

=====

## D
A geometry-optimized CrCoW structure. Source: the Alexandria database, functional GGA-PBE.

Geometry as POSCAR:
```
CrCoW
1.0
2.613 0.000 0.003
0.000 4.172 0.000
-0.495 0.000 7.012
Cr Co W
2 2 2
direct
0.670 0.250 0.572
0.330 0.750 0.428
0.452 0.250 0.898
0.548 0.750 0.102
0.003 0.250 0.222
0.997 0.750 0.778
```

Computed properties:
density of states at the Fermi level	0.892	states/eV per atom

=====

Stability, highest: D

=====

## A
A geometry-optimized CrCoW2 structure. Source: the Alexandria database, functional GGA-PBE.

Geometry as POSCAR:
```
CrCoW2
1.0
4.891 -0.009 -0.008
1.987 4.469 0.008
-3.005 -2.899 2.547
Co Cr W
1 1 2
direct
0.750 0.250 0.500
0.250 0.750 0.500
0.007 0.007 0.000
0.493 0.493 0.000
```

Computed properties:
density of states at the Fermi level	1.071	states/eV per atom

=====

## B
A geometry-optimized CrCoW2 structure. Source: the Alexandria database, functional GGA-PBE.

Geometry as POSCAR:
```
CrCoW2
1.0
-3.304 1.717 2.156
-4.032 -0.702 -1.327
-2.612 -2.528 2.302
Co Cr W
1 1 2
direct
0.500 0.500 0.500
0.750 0.750 0.750
0.000 0.000 0.000
0.250 0.250 0.250
```

Computed properties:
density of states at the Fermi level	1.071	states/eV per atom

=====

## C
A geometry-optimized CrCoW2 structure. Source: the Alexandria database, functional GGA-PBE.

Geometry as POSCAR:
```
CrCoW2
1.0
4.802 -0.002 0.000
1.954 4.386 0.000
-3.378 -2.192 2.615
Co Cr W
1 1 2
direct
0.500 0.500 0.000
0.750 0.250 0.500
0.000 0.000 0.000
0.250 0.750 0.500
```

Computed properties:
density of states at the Fermi level	1.177	states/eV per atom

=====

## D
A geometry-optimized CrCoW2 structure. Source: the Alexandria database, functional GGA-PBE.

Geometry as POSCAR:
```
CrCoW2
1.0
3.055 0.000 0.000
0.000 3.055 0.000
0.000 0.000 5.875
Co Cr W
1 1 2
direct
0.500 0.500 0.250
0.500 0.500 0.750
0.000 0.000 0.998
0.000 0.000 0.502
```

Computed properties:
density of states at the Fermi level	1.016	states/eV per atom

=====

Stability, highest: D

=====

## A
A geometry-optimized Cr2CoW structure. Source: the Alexandria database, functional GGA-PBE.

Geometry as POSCAR:
```
Cr2CoW
1.0
-0.554 1.965 3.623
-1.695 -1.784 0.708
2.986 -3.170 2.175
Co Cr W
1 2 1
direct
0.500 0.750 0.750
0.000 0.022 0.988
0.000 0.478 0.512
0.500 0.250 0.250
```

Computed properties:
density of states at the Fermi level	1.260	states/eV per atom

=====

## B
A geometry-optimized Cr2CoW structure. Source: the Alexandria database, functional GGA-PBE.

Geometry as POSCAR:
```
Cr2CoW
1.0
2.608 0.000 0.000
0.000 3.461 0.000
0.000 0.000 5.612
Co Cr W
1 2 1
direct
0.500 0.500 0.750
0.000 0.000 0.962
0.000 0.000 0.538
0.500 0.500 0.250
```

Computed properties:
density of states at the Fermi level	1.437	states/eV per atom

=====

## C
A geometry-optimized Cr2CoW structure. Source: the Alexandria database, functional GGA-PBE.

Geometry as POSCAR:
```
Cr2CoW
1.0
4.650 0.002 0.000
1.865 4.260 0.000
-3.257 -2.131 2.544
Co Cr W
1 2 1
direct
0.750 0.250 0.500
0.000 0.000 0.000
0.500 0.500 0.000
0.250 0.750 0.500
```

Computed properties:
density of states at the Fermi level	1.276	states/eV per atom

=====

Stability, highest: A

=====

## A
A geometry-optimized Cr2CoW structure. Source: the Alexandria database, functional GGA-PBE.

Geometry as POSCAR:
```
Cr2CoW
1.0
-2.119 -0.230 -1.433
-1.461 -2.262 2.525
-2.152 4.191 2.510
Co Cr W
1 2 1
direct
0.500 0.500 0.766
0.000 0.000 0.996
0.500 0.500 0.230
0.000 0.000 0.508
```

Computed properties:
density of states at the Fermi level	1.278	states/eV per atom

=====

## B
A geometry-optimized Cr2CoW structure. Source: the Alexandria database, functional GGA-PBE.

Geometry as POSCAR:
```
Cr2CoW
1.0
4.556 0.015 0.000
1.578 4.274 0.000
-3.067 -2.144 2.599
Co Cr W
1 2 1
direct
0.750 0.250 0.500
0.000 0.000 0.000
0.250 0.750 0.500
0.500 0.500 0.000
```

Computed properties:
density of states at the Fermi level	1.451	states/eV per atom

=====

Stability, highest: B

=====

## A
A geometry-optimized Cr2CoW structure. Source: the Alexandria database, functional GGA-PBE.

Geometry as POSCAR:
```
Cr2CoW
1.0
4.621 -0.044 0.000
-1.727 4.287 0.000
0.000 0.000 2.590
Co Cr W
1 2 1
direct
0.000 0.500 0.500
0.000 0.000 0.000
0.500 0.500 0.000
0.500 0.000 0.500
```

Computed properties:
density of states at the Fermi level	1.283	states/eV per atom

=====

## B
A geometry-optimized Cr2CoW structure. Source: the Alexandria database, functional GGA-PBE.

Geometry as POSCAR:
```
Cr2CoW
1.0
-1.353 -1.435 -1.629
1.843 0.254 -1.755
3.474 -6.367 2.726
Co Cr W
1 2 1
direct
0.500 0.500 0.750
0.000 0.000 0.969
0.000 0.000 0.531
0.500 0.500 0.250
```

Computed properties:
density of states at the Fermi level	0.939	states/eV per atom

=====

Stability, highest: B

=====

## A
A geometry-optimized Cr2CoW structure. Source: the Alexandria database, functional GGA-PBE.

Geometry as POSCAR:
```
Cr2CoW
1.0
4.802 -0.004 0.001
2.073 4.332 -0.001
-3.016 -2.834 2.436
Co Cr W
1 2 1
direct
0.246 0.746 0.500
0.988 0.988 0.000
0.759 0.259 0.500
0.507 0.507 0.000
```

Computed properties:
density of states at the Fermi level	1.070	states/eV per atom

=====

## B
A geometry-optimized Cr2CoW structure. Source: the Alexandria database, functional GGA-PBE.

Geometry as POSCAR:
```
Cr2CoW
1.0
2.949 0.000 0.000
0.000 2.949 0.000
0.000 0.000 5.877
Co Cr W
1 2 1
direct
0.500 0.500 0.759
0.000 0.000 0.009
0.500 0.500 0.231
0.000 0.000 0.501
```

Computed properties:
density of states at the Fermi level	0.844	states/eV per atom

=====

Stability, highest: B

=====

## A
A geometry-optimized Cr2CoW structure. Source: the Alexandria database, functional GGA-PBE.

Geometry as POSCAR:
```
Cr2CoW
1.0
-0.513 1.514 2.015
1.369 -1.921 1.025
6.624 4.012 -1.327
Co Cr W
1 2 1
direct
0.500 0.500 0.750
0.000 0.000 0.975
0.000 0.000 0.525
0.500 0.500 0.250
```

Computed properties:
density of states at the Fermi level	0.903	states/eV per atom

=====

## B
A geometry-optimized Cr2CoW structure. Source: the Alexandria database, functional GGA-PBE.

Geometry as POSCAR:
```
Cr2CoW
1.0
-3.510 -0.422 -2.105
-1.844 -1.473 3.371
-0.808 2.805 0.784
Co Cr W
1 2 1
direct
0.000 0.500 0.500
0.000 0.000 0.000
0.500 0.500 0.000
0.500 0.000 0.500
```

Computed properties:
density of states at the Fermi level	0.863	states/eV per atom

=====

## C
A geometry-optimized Cr2CoW structure. Source: the Alexandria database, functional GGA-PBE.

Geometry as POSCAR:
```
Cr2CoW
1.0
2.573 0.000 0.000
0.000 2.573 0.000
0.000 0.000 7.662
Co Cr W
1 2 1
direct
0.500 0.500 0.771
0.000 0.000 0.983
0.500 0.500 0.232
0.000 0.000 0.514
```

Computed properties:
density of states at the Fermi level	1.315	states/eV per atom

=====

## D
A geometry-optimized Cr2CoW structure. Source: the Alexandria database, functional GGA-PBE.

Geometry as POSCAR:
```
Cr2CoW
1.0
-1.658 -3.935 -1.460
-0.962 -4.291 1.012
-4.363 0.562 1.308
Co Cr W
1 2 1
direct
0.256 0.256 0.246
0.988 0.988 0.995
0.746 0.746 0.775
0.510 0.510 0.483
```

Computed properties:
density of states at the Fermi level	1.091	states/eV per atom

=====

Stability, highest: B

=====

## A
A geometry-optimized Cr2CoW structure. Source: the Alexandria database, functional GGA-PBE.

Geometry as POSCAR:
```
Cr2CoW
1.0
-2.021 -2.377 2.759
-0.538 1.342 3.905
-3.793 1.106 1.318
Cr Co W
2 1 1
direct
0.250 0.250 0.250
0.750 0.750 0.750
0.000 0.000 0.000
0.500 0.500 0.500
```

Computed properties:
density of states at the Fermi level	0.963	states/eV per atom

=====

## B
A geometry-optimized Cr2CoW structure. Source: the Alexandria database, functional GGA-PBE.

Geometry as POSCAR:
```
Cr2CoW
1.0
2.582 -0.019 0.000
-0.695 2.487 0.000
0.000 0.000 7.881
Co Cr W
1 2 1
direct
0.500 0.500 0.766
0.000 0.000 0.992
0.500 0.500 0.234
0.000 0.000 0.508
```

Computed properties:
density of states at the Fermi level	0.965	states/eV per atom

=====

Stability, highest: B

=====

## A
A geometry-optimized Cr2CoW structure. Source: the Alexandria database, functional GGA-PBE.

Geometry as POSCAR:
```
Cr2CoW
1.0
-3.940 -5.225 -1.111
1.216 0.467 -6.509
0.542 -3.868 -3.561
Cr Co W
4 2 2
direct
0.600 0.125 0.250
0.150 0.625 0.250
0.375 0.400 0.750
0.875 0.850 0.750
0.500 0.500 0.000
0.250 0.750 0.500
0.000 0.000 0.000
0.750 0.250 0.500
```

Computed properties:
density of states at the Fermi level	1.374	states/eV per atom

=====

## B
A geometry-optimized Cr2CoW structure. Source: the Alexandria database, functional GGA-PBE.

Geometry as POSCAR:
```
Cr2CoW
1.0
8.554 -0.041 -0.024
8.151 2.595 -0.024
8.151 1.246 2.276
Co Cr W
1 2 1
direct
0.744 0.744 0.744
0.001 0.001 0.001
0.256 0.256 0.256
0.498 0.498 0.498
```

Computed properties:
density of states at the Fermi level	1.581	states/eV per atom

=====

Stability, highest: B